Entry 1:
{
  "formula": "La2Pm2DyCd5",
  "functional": "PBE-GGA",
  "state": "relaxed",
  "cell": [[4.8692, 0.0000, 0.0000], [0.0000, 10.7932, 0.0000], [0.0000, 0.0000, 10.7932]],
  "species": ["Cd", "Cd", "Cd", "Cd", "Cd", "Cd", "Cd", "Cd", "Cd", "Cd", "La", "La", "La", "La", "Pm", "Pm", "Pm", "Pm", "Dy", "Dy"],
  "fractional_positions": [[0.5000, 0.5661, 0.6906], [0.5000, 0.4339, 0.3094], [0.5000, 0.9339, 0.1906], [0.5000, 0.3094, 0.5661], [0.5000, 0.5000, 0.0000], [0.5000, 0.6906, 0.4339], [0.5000, 0.1906, 0.0661], [0.5000, 0.0000, 0.5000], [0.5000, 0.8094, 0.9339], [0.5000, 0.0661, 0.8094], [0.0000, 0.6754, 0.1754], [0.0000, 0.3246, 0.8246], [0.0000, 0.1754, 0.3246], [0.0000, 0.8246, 0.6754], [0.0000, 0.8746, 0.3746], [0.0000, 0.3746, 0.1254], [0.0000, 0.1254, 0.6254], [0.0000, 0.6254, 0.8746], [0.0000, 0.5000, 0.5000], [0.0000, 0.0000, 0.0000]],
  "space_group": "P4/mbm",
  "formation_energy_ev_per_atom": -0.20
}

Entry 2:
{
  "formula": "LaPmDyCd",
  "functional": "PBE-GGA",
  "state": "relaxed",
  "cell": [[-5.5787, -0.2444, -0.0495], [-2.5739, -4.9086, -0.6822], [-2.7304, -2.3387, 4.2732]],
  "species": ["Pm", "Dy", "Cd", "La"],
  "fractional_positions": [[0.7500, 0.7500, 0.7500], [0.5000, 0.5000, 0.5000], [0.2500, 0.2500, 0.2500], [0.0000, 0.0000, 0.0000]],
  "relative_energy_ev_per_atom": 0.132,
  "space_group": "F-43m",
  "formation_energy_ev_per_atom": -0.01
}

Entry 3:
{
  "formula": "LaPmDyCd",
  "functional": "PBE-GGA",
  "state": "relaxed",
  "cell": [[3.7316, 0.0000, 0.0000], [0.0000, 3.7316, 0.0000], [0.0000, 0.0000, 8.9170]],
  "species": ["La", "Cd", "Dy", "Pm"],
  "fractional_positions": [[0.0000, 0.0000, 0.0773], [0.0000, 0.0000, 0.5622], [0.5000, 0.5000, 0.3548], [0.5000, 0.5000, 0.7904]],
  "relative_energy_ev_per_atom": 0.000,
  "space_group": "P4mm",
  "formation_energy_ev_per_atom": -0.15
}

Entry 4:
{
  "formula": "La5PrDyCd2",
  "functional": "PBE-GGA",
  "state": "relaxed",
  "cell": [[8.9421, 0.0000, 0.0000], [0.0000, 8.9421, 0.0000], [-4.4710, -4.4710, 7.5201]],
  "species": ["Cd", "Cd", "Cd", "Cd", "La", "La", "La", "La", "La", "La", "La", "La", "La", "La", "Dy", "Dy", "Pr", "Pr"],
  "fractional_positions": [[0.3925, 0.8925, 0.0000], [0.1075, 0.3925, 0.0000], [0.8925, 0.6075, 0.0000], [0.6075, 0.1075, 0.0000], [0.4313, 0.3325, 0.2638], [0.9313, 0.4313, 0.2638], [0.5687, 0.6675, 0.7362], [0.5000, 0.5000, 0.0000], [0.1675, 0.0687, 0.7362], [0.6675, 0.1675, 0.7362], [0.0687, 0.5687, 0.7362], [0.8325, 0.9313, 0.2638], [0.0000, 0.0000, 0.0000], [0.3325, 0.8325, 0.2638], [0.2500, 0.2500, 0.5000], [0.7500, 0.7500, 0.5000], [0.2500, 0.7500, 0.5000], [0.7500, 0.2500, 0.5000]],
  "space_group": "I4/mcm",
  "formation_energy_ev_per_atom": 0.01
}

Entry 5:
{
  "formula": "LaPrDyCd",
  "functional": "PBE-GGA",
  "state": "relaxed",
  "cell": [[3.7302, 0.0000, 0.0000], [0.0000, 3.7302, 0.0000], [0.0000, 0.0000, 9.1363]],
  "species": ["Pr", "Cd", "La", "Dy"],
  "fractional_positions": [[0.0000, 0.0000, 0.0831], [0.0000, 0.0000, 0.5542], [0.5000, 0.5000, 0.7951], [0.5000, 0.5000, 0.3523]],
  "relative_energy_ev_per_atom": 0.000,
  "space_group": "P4mm",
  "formation_energy_ev_per_atom": -0.15
}

Entry 6:
{
  "formula": "LaPrDyCd",
  "functional": "PBE-GGA",
  "state": "relaxed",
  "cell": [[5.6232, 0.0000, 0.0000], [2.8116, 4.8698, 0.0000], [2.8116, 1.6233, 4.5913]],
  "species": ["Dy", "La", "Cd", "Pr"],
  "fractional_positions": [[0.2500, 0.2500, 0.2500], [0.0000, 0.0000, 0.0000], [0.7500, 0.7500, 0.7500], [0.5000, 0.5000, 0.5000]],
  "relative_energy_ev_per_atom": 0.098,
  "space_group": "F-43m",
  "formation_energy_ev_per_atom": -0.05
}

Question: Which formula does entry 4 have?
Answer: La5PrDyCd2